1.
Density functional theory data (GGA-PBE) for crystalline Fe2RuAu at its relaxed geometry.

Lattice parameters (Å, degrees): 2.685 2.685 8.473 90.00 90.00 108.79
Each line ends with the local moment (μB).
Fractional positions:
Ru1 0.500 0.500 0.250  0.91
Fe1 0.000 0.000 0.487  2.86
Fe2 0.000 0.000 0.013  2.86
Au1 0.500 0.500 0.750  0.05

Properties
total magnetic moment = 6.7 μB/cell
raw total energy = -7.095 eV per atom
polymorph energy (0 for the lowest one) = 82 meV/atom
formation enthalpy at 0 K = 0.28 eV/atom

2.
Density functional theory data (GGA-PBE) for crystalline Fe2RuAu at its relaxed geometry.

Lattice parameters (Å, degrees): 4.614 4.614 4.814 80.77 80.77 34.34
Each line ends with the local moment (μB).
Fractional positions:
Fe1 0.497 0.497 0.515  2.81
Fe2 0.003 0.003 0.985  2.81
Ru1 0.750 0.750 0.750  0.46
Au1 0.250 0.250 0.250  0.07

Properties
total magnetic moment = 6.1 μB/cell
raw total energy = -7.084 eV per atom
polymorph energy (0 for the lowest one) = 93 meV/atom
formation enthalpy at 0 K = 0.29 eV/atom

3.
Density functional theory data (GGA-PBE) for crystalline FeRuAu2 at its relaxed geometry.

Lattice parameters (Å, degrees): 4.936 4.936 4.936 133.04 132.93 68.68
Each line ends with the local moment (μB).
Fractional positions:
Ru1 0.250 0.750 0.500  1.23
Au1 0.500 0.500 0.000  0.07
Au2 0.000 0.000 0.000  0.07
Fe1 0.750 0.250 0.500  3.10

Properties
total magnetic moment = 4.5 μB/cell
raw total energy = -5.734 eV per atom
polymorph energy (0 for the lowest one) = 152 meV/atom
formation enthalpy at 0 K = 0.34 eV/atom

4.
Density functional theory data (GGA-PBE) for crystalline FeRuAu2 at its relaxed geometry.

Lattice parameters (Å, degrees): 4.909 4.909 4.909 80.37 80.37 32.65
Each line ends with the local moment (μB).
Fractional positions:
Ru1 0.250 0.250 0.250  0.28
Au1 0.001 0.001 0.998  0.03
Au2 0.499 0.499 0.502  0.03
Fe1 0.750 0.750 0.750  2.95

Properties
total magnetic moment = 3.3 μB/cell
raw total energy = -5.707 eV per atom
polymorph energy (0 for the lowest one) = 179 meV/atom
formation enthalpy at 0 K = 0.37 eV/atom

5.
Density functional theory data (GGA-PBE) for crystalline Fe2RuAu at its relaxed geometry.

Lattice parameters (Å, degrees): 2.872 2.872 6.814 90.00 90.00 90.00
Each line ends with the local moment (μB).
Fractional positions:
Au1 0.500 0.500 0.763  0.05
Fe1 0.500 0.500 0.245  2.31
Fe2 0.000 0.000 0.033  2.84
Ru1 0.000 0.000 0.459  0.17

Properties
total magnetic moment = 5.4 μB/cell
raw total energy = -7.158 eV per atom
polymorph energy (0 for the lowest one) = 18 meV/atom
formation enthalpy at 0 K = 0.21 eV/atom

6.
Density functional theory data (GGA-PBE) for crystalline FeRuAu2 at its relaxed geometry.

Lattice parameters (Å, degrees): 4.421 4.421 4.421 60.00 60.00 60.00
Fractional positions:
Au1 0.750 0.750 0.750
Au2 0.250 0.250 0.250
Fe1 0.000 0.000 0.000
Ru1 0.500 0.500 0.500

Properties
total magnetic moment = 0.0 μB/cell
raw total energy = -5.407 eV per atom
polymorph energy (0 for the lowest one) = 478 meV/atom
formation enthalpy at 0 K = 0.67 eV/atom

7.
Density functional theory data (GGA-PBE) for crystalline Fe2RuAu at its relaxed geometry.

Lattice parameters (Å, degrees): 3.576 2.754 6.314 64.15 90.00 90.00
Each line ends with the local moment (μB).
Fractional positions:
Fe1 0.500 0.243 0.257  1.98
Fe2 0.000 0.974 0.026  2.77
Ru1 0.000 0.543 0.457  -0.04
Au1 0.500 0.740 0.760  0.04

Properties
total magnetic moment = 4.7 μB/cell
raw total energy = -7.141 eV per atom
polymorph energy (0 for the lowest one) = 36 meV/atom
formation enthalpy at 0 K = 0.23 eV/atom

8.
Density functional theory data (GGA-PBE) for crystalline Fe2RuAu at its relaxed geometry.

Lattice parameters (Å, degrees): 4.766 4.766 4.766 133.11 133.09 68.49
Each line ends with the local moment (μB).
Fractional positions:
Ru1 0.500 0.500 0.000  0.80
Fe1 0.000 0.000 0.000  2.85
Fe2 0.750 0.250 0.500  2.76
Au1 0.250 0.750 0.500  0.10

Properties
total magnetic moment = 6.5 μB/cell
raw total energy = -7.100 eV per atom
polymorph energy (0 for the lowest one) = 77 meV/atom
formation enthalpy at 0 K = 0.27 eV/atom

9.
Density functional theory data (GGA-PBE) for crystalline Fe2Ru2Au at its relaxed geometry.

Lattice parameters (Å, degrees): 7.116 7.116 2.704 90.00 90.00 90.00
Each line ends with the local moment (μB).
Fractional positions:
Ru1 0.671 0.829 0.500  -0.11
Ru2 0.829 0.329 0.500  -0.09
Ru3 0.329 0.171 0.500  -0.11
Ru4 0.171 0.671 0.500  -0.09
Fe1 0.882 0.618 0.000  1.10
Fe2 0.118 0.382 0.000  1.10
Fe3 0.382 0.882 0.000  1.15
Fe4 0.618 0.118 0.000  1.15
Au1 0.000 0.000 0.000  0.00
Au2 0.500 0.500 0.000  0.00

Properties
total magnetic moment = 4.1 μB/cell
raw total energy = -7.445 eV per atom
polymorph energy (0 for the lowest one) = 0 meV/atom
formation enthalpy at 0 K = 0.31 eV/atom

10.
Density functional theory data (GGA-PBE) for crystalline FeRuAu2 at its relaxed geometry.

Lattice parameters (Å, degrees): 2.769 2.769 9.167 90.00 90.00 114.25
Each line ends with the local moment (μB).
Fractional positions:
Ru1 0.500 0.500 0.725  1.08
Au1 0.000 0.000 0.991  0.02
Au2 0.500 0.500 0.270  0.03
Fe1 0.000 0.000 0.514  2.94

Properties
total magnetic moment = 4.1 μB/cell
raw total energy = -5.801 eV per atom
polymorph energy (0 for the lowest one) = 84 meV/atom
formation enthalpy at 0 K = 0.27 eV/atom

11.
Density functional theory data (GGA-PBE) for crystalline FeRu3Au at its relaxed geometry.

Lattice parameters (Å, degrees): 4.399 4.399 4.399 90.00 90.00 90.00
Each line ends with the local moment (μB).
Fractional positions:
Fe1 0.000 0.000 0.000  -0.28
Ru1 0.500 0.000 0.000  0.71
Ru2 0.000 0.500 0.000  0.70
Ru3 0.000 0.000 0.500  0.63
Au1 0.500 0.500 0.500  0.05

Properties
total magnetic moment = 1.8 μB/cell
raw total energy = -6.588 eV per atom
polymorph energy (0 for the lowest one) = 0 meV/atom
formation enthalpy at 0 K = 1.33 eV/atom

12.
Density functional theory data (GGA-PBE) for crystalline Fe2Ru2Au at its relaxed geometry.

Lattice parameters (Å, degrees): 7.252 7.252 2.715 90.00 90.00 90.00
Each line ends with the local moment (μB).
Fractional positions:
Ru1 0.129 0.371 0.000  -0.09
Ru2 0.871 0.629 0.000  -0.09
Ru3 0.629 0.129 0.000  -0.08
Ru4 0.371 0.871 0.000  -0.08
Fe1 0.836 0.336 0.500  2.24
Fe2 0.336 0.164 0.500  2.24
Fe3 0.664 0.836 0.500  2.24
Fe4 0.164 0.664 0.500  2.24
Au1 0.000 0.000 0.000  0.01
Au2 0.500 0.500 0.000  0.01

Properties
total magnetic moment = 8.7 μB/cell
raw total energy = -7.415 eV per atom
polymorph energy (0 for the lowest one) = 29 meV/atom
formation enthalpy at 0 K = 0.34 eV/atom

13.
Density functional theory data (GGA-PBE) for crystalline FeRuAu2 at its relaxed geometry.

Lattice parameters (Å, degrees): 2.793 2.793 7.925 90.00 90.00 90.00
Each line ends with the local moment (μB).
Fractional positions:
Ru1 0.500 0.500 0.716  -0.34
Au1 0.500 0.500 0.276  0.05
Au2 0.000 0.000 0.986  -0.01
Fe1 0.000 0.000 0.522  2.13

Properties
total magnetic moment = 1.9 μB/cell
raw total energy = -5.885 eV per atom
polymorph energy (0 for the lowest one) = 0 meV/atom
formation enthalpy at 0 K = 0.19 eV/atom

14.
Density functional theory data (GGA-PBE) for crystalline FeRuAu2 at its relaxed geometry.

Lattice parameters (Å, degrees): 3.906 3.908 4.144 90.00 90.00 90.00
Each line ends with the local moment (μB).
Fractional positions:
Ru1 0.000 0.500 0.500  1.21
Fe1 0.500 0.000 0.500  3.20
Au1 0.000 0.000 0.000  0.10
Au2 0.500 0.500 0.000  0.10

Properties
total magnetic moment = 4.7 μB/cell
raw total energy = -5.756 eV per atom
polymorph energy (0 for the lowest one) = 129 meV/atom
formation enthalpy at 0 K = 0.32 eV/atom

15.
Density functional theory data (GGA-PBE) for crystalline FeSb2RuAu at its relaxed geometry.

Lattice parameters (Å, degrees): 5.237 4.756 5.237 90.00 90.00 90.00
Each line ends with the local moment (μB).
Fractional positions:
Fe1 0.000 0.500 0.000  3.09
Au1 0.000 0.000 0.000  0.01
Ru1 0.500 0.500 0.500  2.01
Sb1 0.000 0.000 0.500  -0.04
Sb2 0.500 0.000 0.000  -0.07

Properties
ΔE_f (raw) = 1.42 eV per atom
total magnetic moment = 5.1 μB/cell
raw total energy = -4.429 eV per atom